1.
VASP calculation (PBE) on a relaxed structure of Pm3Ho3MgS8.

Computed properties:
Total magnetization = 0.00 μB/atom
Raw formation energy = -45.5 kcal/mol of atoms
ρ = 5.826 g/cm³

a b c (Å): 7.8294 7.8294 19.5005
angles (deg): 90.00 90.00 120.00
Last column: nearest neighbours and their distance in Å.
Space group R-3m (No. 166, hexagonal axes)
One atom of each set of equivalent atoms:
Pm 0.0000 0.5000 0.0000  6 S 2.84
Ho 0.0000 0.5000 0.5000  6 S 2.73-2.74
Mg 0.0000 0.0000 0.5000  6 S 2.66
S 0.0000 0.0000 0.2456  3 Ho 2.73, 3 Pm 2.84
S 0.0086 0.5043 0.2436  1 Mg 2.66, 2 Ho 2.74, 2 Pm 2.84

2.
VASP calculation (PBE) on a relaxed structure of CePmNdDy.

Computed properties:
Total magnetization = 0.35 μB/atom
ρ = 7.355 g/cm³
DFT total energy = -4.818 eV per atom

a b c (Å): 8.1154 8.1154 8.1154
angles (deg): 90.00 90.00 90.00
Last column: nearest neighbours and their distance in Å.
Space group F-43m (No. 216)
One atom of each set of equivalent atoms:
Ce 0.0000 0.0000 0.0000  4 Dy 3.51, 4 Pm 3.51
Pm 0.2500 0.2500 0.2500  4 Ce 3.51, 4 Nd 3.51
Nd 0.0000 0.0000 0.5000  4 Dy 3.51, 4 Pm 3.51
Dy 0.2500 0.2500 0.7500  4 Ce 3.51, 4 Nd 3.51

3.
VASP calculation (PBE) on a relaxed structure of Ac2Ho3Cd2.

Computed properties:
Total magnetization = 0.00 μB/atom
ρ = 8.534 g/cm³
DFT total energy = -3.495 eV per atom

a b c (Å): 3.7409 32.9816 3.7018
angles (deg): 90.00 90.00 90.00
Last column: nearest neighbours and their distance in Å.
Space group Cmmm (No. 65)
One atom of each set of equivalent atoms:
Ac 0.0000 0.1969 0.0000  4 Cd 3.52, 4 Ac 3.70-3.74
Ho 0.0000 0.0697 0.0000  4 Cd 3.22, 4 Ho 3.49
Ho 0.0000 0.5000 0.5000  12 Ho 3.49-3.74
Cd 0.0000 0.3740 0.5000  4 Ho 3.22, 4 Ac 3.52

4.
VASP calculation (PBE) on a relaxed structure of YTaTeMo2.

Computed properties:
Total magnetization = 0.02 μB/atom
Raw formation energy = 37.6 kcal/mol of atoms
ρ = 7.737 g/cm³

a b c (Å): 4.8775 4.8775 5.3169
angles (deg): 90.00 90.00 90.00
Last column: nearest neighbours and their distance in Å.
Space group P4/mmm (No. 123)
One atom of each set of equivalent atoms:
Y 0.0000 0.0000 0.0000  2 Te 2.66
Ta 0.5000 0.5000 0.0000  4 Y 3.45, 8 Mo 3.61
Te 0.0000 0.0000 0.5000  4 Mo 2.44, 2 Y 2.66
Mo 0.0000 0.5000 0.5000  2 Te 2.44

5.
VASP calculation (PBE) on a relaxed structure of OsO4.

Computed properties:
Total magnetization = 0.00 μB/atom
Raw formation energy = -22.3 kcal/mol of atoms
ρ = 4.209 g/cm³

a b c (Å): 9.5641 4.9212 4.9565
angles (deg): 90.00 120.70 90.00
Last column: nearest neighbours and their distance in Å.
Space group C2 (No. 5)
One atom of each set of equivalent atoms:
Os 0.0000 0.0000 0.0000  4 O 1.72
O 0.1182 0.2026 0.3215  1 Os 1.72
O 0.1225 0.7971 0.9230  1 Os 1.72

6.
VASP calculation (PBE) on a relaxed structure of RbNaZn2As2.

Computed properties:
Total magnetization = 0.00 μB/atom
ρ = 4.165 g/cm³
DFT total energy = -2.788 eV per atom

a b c (Å): 4.2541 4.2541 9.8982
angles (deg): 90.00 90.00 120.00
Last column: nearest neighbours and their distance in Å.
Space group P-3m1 (No. 164)
One atom of each set of equivalent atoms:
Rb 0.0000 0.0000 0.0000  6 As 3.68, 6 Zn 3.76
Na 0.0000 0.0000 0.5000  6 Zn 3.23, 6 As 3.30
Zn 0.3333 0.6667 0.7121  3 As 2.46
As 0.3333 0.6667 0.2769  3 Zn 2.46

7.
VASP calculation (PBE) on a relaxed structure of ScPd6Au3.

Computed properties:
Total magnetization = 0.00 μB/atom
Relative energy among the computed polymorphs = 16 meV/atom
ρ = 12.746 g/cm³

a b c (Å): 7.5690 4.7252 9.9768
angles (deg): 90.00 111.47 90.00
Last column: nearest neighbours and their distance in Å.
Space group P2_1/m (No. 11)
One atom of each set of equivalent atoms:
Sc 0.1397 0.2500 0.0924  6 Pd 2.63-2.78, 2 Au 2.91-2.93
Pd 0.0873 0.7500 0.2190  5 Pd 2.77-3.01, 3 Sc 2.78-2.95, 4 Au 2.81-2.87
Pd 0.1125 0.2500 0.5739  7 Au 2.79-2.85, 5 Pd 2.87-2.97
Pd 0.2797 0.7500 0.0230  3 Sc 2.78-2.95, 5 Pd 2.78-3.00, 4 Au 2.80-2.89
Pd 0.3155 0.2500 0.3760  1 Sc 2.65, 4 Au 2.78-2.84, 5 Pd 2.83-2.92
Pd 0.4807 0.7500 0.3191  8 Pd 2.77-2.87, 4 Au 2.88-3.01
Pd 0.4882 0.7500 0.8269  1 Sc 2.63, 5 Au 2.83-2.86, 4 Pd 2.83-2.93
Au 0.0830 0.7500 0.7241  8 Pd 2.79-2.86, 1 Sc 2.91, 3 Au 2.95-2.98
Au 0.2900 0.7500 0.5250  11 Pd 2.78-3.01, 1 Au 2.95
Au 0.3108 0.2500 0.8718  9 Pd 2.80-2.89, 1 Sc 2.93, 2 Au 2.98

8.
VASP calculation (PBE) on a relaxed structure of Er4ZnRh3.

Computed properties:
Total magnetization = 0.00 μB/atom
ρ = 10.744 g/cm³
DFT total energy = -5.969 eV per atom

a b c (Å): 4.8070 4.8070 6.9775
angles (deg): 90.00 90.00 90.00
Last column: nearest neighbours and their distance in Å.
Space group P4/mmm (No. 123)
One atom of each set of equivalent atoms:
Er 0.0000 0.5000 0.2440  6 Rh 2.95-2.99, 2 Zn 2.99
Zn 0.0000 0.0000 0.5000  8 Er 2.99
Rh 0.0000 0.0000 0.0000  8 Er 2.95
Rh 0.5000 0.5000 0.0000  8 Er 2.95
Rh 0.5000 0.5000 0.5000  8 Er 2.99